No. 1
Here is a relaxed structure of LaTaTl from Alexandria via LeMat-Bulk. Energies are from GGA-PBE.

**Size of the total moment**: 11.48 μB/cell
**Density of states at the Fermi level**: 2.6 states/eV/f.u.
**E_form**: 852 meV per atom

abc: 7.108 7.108 7.108
angles: 90.00 90.00 90.00
Space group F-43m (No. 216)
Symmetry-distinct sites (fractional):
La1 0.000 0.000 0.000
Ta1 0.250 0.250 0.250
Tl1 0.000 0.000 0.500

---

No. 2
Here is a relaxed structure of NiAgAs2 from Alexandria via LeMat-Bulk. Energies are from GGA-PBE.

**Size of the total moment**: 0.00 μB/cell
**Density of states at the Fermi level**: 1.4 states/eV/f.u.
**E_form**: 158 meV per atom

abc: 3.0664 3.0664 25.0698
angles: 90.00 90.00 120.00
Space group R3m (No. 160, hexagonal axes)
Symmetry-distinct sites (fractional):
Ni1 0.0000 0.0000 0.0000
Ag1 0.0000 0.0000 0.2499
As1 0.0000 0.0000 0.4882
As2 0.0000 0.0000 0.7268

---

No. 3
Here is a relaxed structure of Ba7Sr3 from Alexandria via LeMat-Bulk. Energies are from GGA-PBE.

**Size of the total moment**: 1.27 μB/cell
**Density of states at the Fermi level**: 11.5 states/eV/f.u.
**E_form**: 86 meV per atom

abc: 13.5186 13.5186 8.1933
angles: 90.00 90.00 120.00
Space group P6_3mc (No. 186)
Symmetry-distinct sites (fractional):
Ba1 0.0009 0.5004 0.0000
Ba2 0.1314 0.2627 0.7518
Ba3 0.3333 0.6667 0.7484
Sr1 0.2251 0.4502 0.2517